# PmHoGa2Ir2, relaxed, DFT PBE-GGA
# total energy	-6.294	eV/atom
# crystal system	trigonal
# Fermi-level density of states	0.632	states/eV per atom
# calculated volume	20.194	A^3/atom
data_PmHoGa2Ir2
_chemical_formula_sum 'Pm1 Ho1 Ga2 Ir2'
_cell_length_a 4.4118
_cell_length_b 4.4118
_cell_length_c 7.1879
_cell_angle_alpha 90.00
_cell_angle_beta 90.00
_cell_angle_gamma 120.00
_space_group_name_H-M_alt 'P -3 m 1'
_space_group_IT_number 164
_space_group_name_Hall '-P 3 2"'
loop_
_atom_site_label
_atom_site_type_symbol
_atom_site_fract_x
_atom_site_fract_y
_atom_site_fract_z
_atom_site_occupancy
Pm1 Pm 0.0000 0.0000 0.0000 1
Ho1 Ho 0.0000 0.0000 0.5000 1
Ga1 Ga 0.3333 0.6667 0.2685 1
Ir1 Ir 0.3333 0.6667 0.7324 1

---

# KLaY4, relaxed, DFT PBE-GGA
# total energy	-4.874	eV/atom
# crystal system	cubic
# Fermi-level density of states	2.176	states/eV per atom
# calculated volume	38.852	A^3/atom
data_KLaY4
_chemical_formula_sum 'K4 La4 Y16'
_cell_length_a 9.770
_cell_length_b 9.770
_cell_length_c 9.770
_cell_angle_alpha 90.00
_cell_angle_beta 90.00
_cell_angle_gamma 90.00
_space_group_name_H-M_alt 'F -4 3 m'
_space_group_IT_number 216
_space_group_name_Hall 'F -4 2 3'
loop_
_atom_site_label
_atom_site_type_symbol
_atom_site_fract_x
_atom_site_fract_y
_atom_site_fract_z
_atom_site_occupancy
K1 K 0.000 0.000 0.000 1
La1 La 0.250 0.250 0.750 1
Y1 Y 0.122 0.122 0.378 1